Entry 1:
Computed, not measured: HRuI2O after structural relaxation at the PBE level of DFT.

a = 5.6109 Å, b = 5.6109 Å, c = 3.6891 Å
α = 90.00°, β = 90.00°, γ = 90.00°
Sites, in units of the cell vectors:
H 0.5000 0.5000 0.5000
I 0.5000 0.0000 0.0000
I 0.0000 0.5000 0.0000
Ru 0.0000 0.0000 0.0000
O 0.0000 0.0000 0.5000

The calculation puts the total magnetization at 1.02 μB/cell. The calculation puts the density of states at the Fermi level at 1.047 states/eV/atom. The energy above the most stable polymorph in this dataset is 0.00 eV/f.u. The total energy is -19.22 eV for the cell shown.

***

Entry 2:
Computed, not measured: TcAs2Ir after structural relaxation at the PBE level of DFT.

a = 4.3399 Å, b = 4.3399 Å, c = 3.1887 Å
α = 90.00°, β = 90.00°, γ = 90.00°
Sites, in units of the cell vectors:
As 0.0000 0.0000 0.0000
As 0.5000 0.5000 0.0000
Tc 0.0000 0.5000 0.5000
Ir 0.5000 0.0000 0.5000

As for the energy of formation from the pure elements: 7.2 kJ/mol of atoms. The calculation puts the total magnetization at 0.00 μB/cell. The calculation puts the density of states at the Fermi level at 0.808 states/eV/atom. The energy above the most stable polymorph in this dataset is 0.45 eV/f.u. The total energy is -28.23 eV for the cell shown.

***

Entry 3:
Computed, not measured: Pm4HoSb2 after structural relaxation at the PBE level of DFT.

a = 5.3768 Å, b = 5.3768 Å, c = 9.2608 Å
α = 106.88°, β = 106.88°, γ = 90.00°
Sites, in units of the cell vectors:
Sb 0.3671 0.3671 0.7342
Sb 0.6329 0.6329 0.2658
Pm 0.0000 0.5000 0.0000
Pm 0.8160 0.8160 0.6320
Pm 0.1840 0.1840 0.3680
Pm 0.5000 0.0000 0.0000
Ho 0.0000 0.0000 0.0000

The calculation puts the total magnetization at 0.00 μB/cell. The calculation puts the density of states at the Fermi level at 0.967 states/eV/atom. The calculation puts the formation energy from raw total energies at 115.7 meV/atom. The total energy is -31.02 eV for the cell shown.

***

Entry 4:
Computed, not measured: TlRe2Au after structural relaxation at the PBE level of DFT.

a = 2.8473 Å, b = 2.8473 Å, c = 10.1876 Å
α = 90.00°, β = 90.00°, γ = 117.03°
Sites, in units of the cell vectors:
Re 0.0000 0.0000 0.0164
Re 0.5000 0.5000 0.2211
Au 0.5000 0.5000 0.7719
Tl 0.0000 0.0000 0.4906

As for the energy of formation from the pure elements: 59.0 kJ/mol of atoms. The calculation puts the total magnetization at 0.00 μB/cell. The calculation puts the density of states at the Fermi level at 0.502 states/eV/atom. The energy above the most stable polymorph in this dataset is 0.83 eV/f.u. The total energy is -28.09 eV for the cell shown.

***

Entry 5:
Computed, not measured: BaBiSeN2 after structural relaxation at the PBE level of DFT.

a = 4.5824 Å, b = 4.5824 Å, c = 6.3756 Å
α = 90.00°, β = 90.00°, γ = 90.00°
Sites, in units of the cell vectors:
Se 0.0000 0.0000 0.5000
Bi 0.5000 0.5000 0.5000
N 0.0000 0.5000 0.0000
N 0.5000 0.0000 0.0000
Ba 0.0000 0.0000 0.0000

The calculation puts the total magnetization at 1.42 μB/cell. The calculation puts the density of states at the Fermi level at 0.627 states/eV/atom. The calculation puts the formation energy from raw total energies at 1382.9 meV/atom. The energy above the most stable polymorph in this dataset is 4.64 eV/f.u. The total energy is -19.02 eV for the cell shown.

***

Entry 6:
Computed, not measured: Er4PuSc5 after structural relaxation at the PBE level of DFT.

a = 5.4686 Å, b = 7.6223 Å, c = 7.6223 Å
α = 82.61°, β = 68.98°, γ = 68.98°
Sites, in units of the cell vectors:
Sc 0.2251 0.6314 0.0000
Sc 0.8565 0.3686 0.0000
Sc 0.2251 0.0000 0.6314
Sc 0.3471 0.0000 0.0000
Sc 0.8565 0.0000 0.3686
Er 0.5446 0.3168 0.6832
Er 0.2278 0.3168 0.3168
Er 0.8614 0.6832 0.6832
Er 0.5446 0.6832 0.3168
Pu 0.8217 0.0000 0.0000

As for the energy of formation from the pure elements: 20.9 kJ/mol of atoms. The calculation puts the total magnetization at 6.51 μB/cell. The calculation puts the density of states at the Fermi level at 1.617 states/eV/atom. The total energy is -62.07 eV for the cell shown.

***

Entry 7:
Computed, not measured: Cs2NdHCl6 after structural relaxation at the PBE level of DFT.

a = 7.4932 Å, b = 7.4894 Å, c = 8.5803 Å
α = 55.04°, β = 55.03°, γ = 71.84°
Sites, in units of the cell vectors:
Cs 0.2501 0.7503 0.4997
Cs 0.7499 0.2497 0.5003
Cl 0.7774 0.7774 0.4455
Cl 0.6773 0.3221 0.0001
Cl 0.2226 0.2226 0.5545
Cl 0.2226 0.2232 0.9994
Cl 0.7774 0.7768 0.0006
Cl 0.3227 0.6779 0.9999
H 0.5000 0.5000 0.0000
Nd 0.0000 0.0000 0.0000

The calculation puts the total magnetization at 0.00 μB/cell. The calculation puts the density of states at the Fermi level at 0.000 states/eV/atom. The total energy is -38.72 eV for the cell shown.

***

Entry 8:
Computed, not measured: SrPr3S4 after structural relaxation at the PBE level of DFT.

a = 5.8490 Å, b = 5.8490 Å, c = 5.8490 Å
α = 90.00°, β = 90.00°, γ = 90.00°
Sites, in units of the cell vectors:
S 0.0000 0.0000 0.5000
S 0.5000 0.5000 0.5000
S 0.0000 0.5000 0.0000
S 0.5000 0.0000 0.0000
Pr 0.5000 0.0000 0.5000
Pr 0.0000 0.5000 0.5000
Pr 0.5000 0.5000 0.0000
Sr 0.0000 0.0000 0.0000

The calculation puts the total magnetization at 0.00 μB/cell. The calculation puts the density of states at the Fermi level at 0.373 states/eV/atom. The calculation puts the formation energy from raw total energies at -2023.0 meV/atom. The energy above the most stable polymorph in this dataset is 0.03 eV/f.u. The total energy is -48.71 eV for the cell shown.

***

Entry 9:
Computed, not measured: OsRu3Pb after structural relaxation at the PBE level of DFT.

a = 4.7267 Å, b = 4.7267 Å, c = 4.7267 Å
α = 90.00°, β = 90.00°, γ = 90.00°
Sites, in units of the cell vectors:
Ru 0.0000 0.5000 0.0000
Ru 0.5000 0.0000 0.0000
Ru 0.0000 0.0000 0.5000
Pb 0.5000 0.5000 0.5000
Os 0.0000 0.0000 0.0000

As for the energy of formation from the pure elements: 138.1 kJ/mol of atoms. The calculation puts the total magnetization at 0.00 μB/cell. The calculation puts the density of states at the Fermi level at 1.138 states/eV/atom. The energy above the most stable polymorph in this dataset is 0.00 eV/f.u. The total energy is -35.61 eV for the cell shown.

***

Entry 10:
Computed, not measured: Ni4SbOs after structural relaxation at the PBE level of DFT.

a = 4.7752 Å, b = 4.7752 Å, c = 4.7752 Å
α = 60.00°, β = 60.00°, γ = 60.00°
Sites, in units of the cell vectors:
Ni 0.3759 0.3759 0.3759
Ni 0.8724 0.3759 0.3759
Ni 0.3759 0.3759 0.8724
Ni 0.3759 0.8724 0.3759
Os 0.7500 0.7500 0.7500
Sb 0.0000 0.0000 0.0000

The calculation puts the total magnetization at 1.69 μB/cell. The calculation puts the density of states at the Fermi level at 1.611 states/eV/atom. The calculation puts the formation energy from raw total energies at 263.9 meV/atom. The total energy is -36.89 eV for the cell shown.